[1]
Here is crystalline ErLuZnSi at its relaxed geometry from Alexandria. Energies are from GGA-PBE.

VASP energy = -17.5 eV per cell
ΔE_f (raw) = -441 meV per atom

Cell lengths 4.896, 4.896, 4.896 Å; angles 60.00, 60.00, 60.00 degrees
Positions (direct):
Er 0.000 0.000 0.000
Lu 0.500 0.500 0.500
Zn 0.250 0.250 0.250
Si 0.750 0.750 0.750

***

[2]
Here is crystalline Re2RhPbCl at its relaxed geometry from Alexandria. Energies are from GGA-PBE.

relative energy among the computed polymorphs = 0.998 eV per atom
VASP energy = -24.5 eV per cell
ΔE_f (raw) = 2665 meV per atom

Cell lengths 5.383, 5.383, 5.036 Å; angles 90.00, 90.00, 90.00 degrees
Positions (direct):
Re 0.000 0.500 0.000
Re 0.500 0.000 0.000
Rh 0.000 0.000 0.500
Pb 0.000 0.000 0.000
Cl 0.500 0.500 0.500

***

[3]
Here is crystalline TcAsBr2 at its relaxed geometry from Alexandria. Energies are from GGA-PBE.

relative energy among the computed polymorphs = 1.042 eV per atom
VASP energy = -14.3 eV per cell
ΔE_f (raw) = 1011 meV per atom

Cell lengths 4.740, 4.740, 3.376 Å; angles 90.00, 90.00, 90.00 degrees
Positions (direct):
Tc 0.000 0.000 0.000
As 0.500 0.500 0.000
Br 0.000 0.500 0.500
Br 0.500 0.000 0.500

***

[4]
Here is crystalline KHfRuRh2 at its relaxed geometry from Alexandria. Energies are from GGA-PBE.

formation energy from the elements = 1.58 eV/atom
VASP energy = -27.1 eV per cell

Cell lengths 4.757, 4.757, 5.569 Å; angles 90.00, 90.00, 90.00 degrees
Positions (direct):
K 0.000 0.000 0.000
Hf 0.000 0.000 0.500
Ru 0.500 0.500 0.000
Rh 0.000 0.500 0.500
Rh 0.500 0.000 0.500

***

[5]
Here is crystalline Ho3Ga2Ir at its relaxed geometry from Alexandria. Energies are from GGA-PBE.

formation energy from the elements = -0.69 eV/atom
VASP energy = -131.2 eV per cell

Cell lengths 11.823, 4.293, 11.031 Å; angles 90.00, 90.00, 90.00 degrees
Positions (direct):
Ho 0.050 0.250 0.124
Ho 0.117 0.750 0.558
Ho 0.231 0.250 0.801
Ho 0.269 0.750 0.301
Ho 0.383 0.250 0.058
Ho 0.450 0.750 0.624
Ho 0.550 0.250 0.376
Ho 0.617 0.750 0.942
Ho 0.731 0.250 0.699
Ho 0.769 0.750 0.199
Ho 0.883 0.250 0.442
Ho 0.950 0.750 0.876
Ga 0.008 0.750 0.302
Ga 0.192 0.750 0.006
Ga 0.308 0.250 0.506
Ga 0.492 0.250 0.802
Ga 0.508 0.750 0.198
Ga 0.692 0.750 0.494
Ga 0.808 0.250 0.994
Ga 0.992 0.250 0.698
Ir 0.122 0.250 0.377
Ir 0.378 0.750 0.877
Ir 0.622 0.250 0.123
Ir 0.878 0.750 0.623

***

[6]
Here is crystalline ErThAl2Ga2 at its relaxed geometry from Alexandria. Energies are from GGA-PBE.

formation energy from the elements = -0.54 eV/atom
VASP energy = -28.8 eV per cell

Cell lengths 4.284, 4.284, 8.272 Å; angles 90.00, 90.00, 120.00 degrees
Positions (direct):
Er 0.000 0.000 0.000
Th 0.000 0.000 0.500
Al 0.333 0.667 0.243
Al 0.667 0.333 0.757
Ga 0.333 0.667 0.764
Ga 0.667 0.333 0.236

***

[7]
Here is crystalline CaScCr2Ir at its relaxed geometry from Alexandria. Energies are from GGA-PBE.

formation energy from the elements = 1.96 eV/atom
VASP energy = -26.6 eV per cell

Cell lengths 4.443, 4.443, 4.709 Å; angles 90.00, 90.00, 90.00 degrees
Positions (direct):
Ca 0.000 0.000 0.000
Sc 0.000 0.000 0.500
Cr 0.000 0.500 0.000
Cr 0.500 0.000 0.000
Ir 0.500 0.500 0.500

***

[8]
Here is crystalline Pm8Y4Mg at its relaxed geometry from Alexandria. Energies are from GGA-PBE.

formation energy from the elements = 0.02 eV/atom
VASP energy = -65.2 eV per cell

Cell lengths 6.242, 6.242, 14.837 Å; angles 94.07, 94.07, 48.06 degrees
Positions (direct):
Pm 0.036 0.036 0.382
Pm 0.200 0.200 0.925
Pm 0.270 0.270 0.694
Pm 0.417 0.417 0.227
Pm 0.583 0.583 0.773
Pm 0.730 0.730 0.306
Pm 0.800 0.800 0.075
Pm 0.964 0.964 0.618
Y 0.110 0.110 0.151
Y 0.347 0.347 0.461
Y 0.653 0.653 0.539
Y 0.890 0.890 0.849
Mg 0.500 0.500 0.000

***

[9]
Here is crystalline SiSe2BrN at its relaxed geometry from Alexandria. Energies are from GGA-PBE.

relative energy among the computed polymorphs = 0.785 eV per atom
VASP energy = -16.2 eV per cell
ΔE_f (raw) = 1243 meV per atom

Cell lengths 4.841, 4.841, 5.244 Å; angles 90.00, 90.00, 90.00 degrees
Positions (direct):
Si 0.000 0.000 0.000
Se 0.000 0.500 0.000
Se 0.500 0.000 0.000
Br 0.000 0.000 0.500
N 0.500 0.500 0.500

***

[10]
Here is crystalline Ca2YNi at its relaxed geometry from Alexandria. Energies are from GGA-PBE.

formation energy from the elements = 0.37 eV/atom
relative energy among the computed polymorphs = 0.478 eV per atom
VASP energy = -14.8 eV per cell

Cell lengths 6.354, 6.354, 3.504 Å; angles 102.04, 102.04, 119.85 degrees
Positions (direct):
Ca 0.000 0.500 0.000
Ca 0.500 0.000 0.000
Y 0.000 0.000 0.500
Ni 0.500 0.500 0.500

***

[11]
Here is crystalline Pr8NiHg2 at its relaxed geometry from Alexandria. Energies are from GGA-PBE.

formation energy from the elements = -0.17 eV/atom
relative energy among the computed polymorphs = 0.015 eV per atom
VASP energy = -46.5 eV per cell

Cell lengths 9.134, 9.134, 6.492 Å; angles 103.37, 103.37, 129.56 degrees
Positions (direct):
Pr 0.000 0.000 0.000
Pr 0.057 0.453 0.215
Pr 0.092 0.867 0.514
Pr 0.410 0.631 0.886
Pr 0.453 0.057 0.215
Pr 0.538 0.538 0.398
Pr 0.631 0.410 0.886
Pr 0.867 0.092 0.514
Ni 0.253 0.253 0.508
Hg 0.538 0.975 0.714
Hg 0.975 0.538 0.714

***

[12]
Here is crystalline TiBiOsI2 at its relaxed geometry from Alexandria. Energies are from GGA-PBE.

VASP energy = -16.5 eV per cell
ΔE_f (raw) = 1920 meV per atom

Cell lengths 6.173, 6.173, 5.496 Å; angles 90.00, 90.00, 90.00 degrees
Positions (direct):
Ti 0.000 0.000 0.000
Bi 0.000 0.000 0.500
Os 0.500 0.500 0.000
I 0.000 0.500 0.500
I 0.500 0.000 0.500